[1]
# PBE K2Sc3Br10, relaxed
# **Total energy**: -4.179 eV/atom
# **N(E_F)**: 15.4 states/eV/cell
# **Density**: 3.45 g/cm3
# **Uncorrected formation energy**: -1.6508 eV per atom
data_K2Sc3Br10
_symmetry_space_group_name_H-M 'C 1 2/m 1'
_symmetry_Int_Tables_number 12
_cell_length_a 25.390
_cell_length_b 7.723
_cell_length_c 10.660
_cell_angle_alpha 90.00
_cell_angle_beta 111.35
_cell_angle_gamma 90.00
loop_
_symmetry_equiv_pos_as_xyz
'x,y,z'
'-x,-y,-z'
'-x,y,-z'
'x,-y,z'
'x+1/2,y+1/2,z'
'-x+1/2,-y+1/2,-z'
'-x+1/2,y+1/2,-z'
'x+1/2,-y+1/2,z'
loop_
_atom_site_label
_atom_site_fract_x
_atom_site_fract_y
_atom_site_fract_z
K1 0.127 0.000 0.224
K2 0.235 0.000 0.847
Sc1 0.000 0.256 0.500
Sc2 0.078 0.500 0.982
Sc3 0.181 0.500 0.531
Br1 0.000 0.267 0.000
Br2 0.015 0.000 0.682
Br3 0.019 0.500 0.698
Br4 0.112 0.245 0.544
Br5 0.129 0.500 0.254
Br6 0.143 0.253 0.966
Br7 0.236 0.500 0.787
Br8 0.250 0.250 0.500



[2]
# PBE K3ScBr, relaxed
# **E above lowest polymorph**: 0.000 eV/atom
# **Total energy**: -2.363 eV/atom
# **N(E_F)**: 5.9 states/eV/cell
# **Density**: 1.55 g/cm3
# **Uncorrected formation energy**: -0.1033 eV per atom
data_K3ScBr
_symmetry_space_group_name_H-M 'P m -3 m'
_symmetry_Int_Tables_number 221
_symmetry_space_group_name_Hall '-P 4 2 3'
_cell_length_a 6.380
_cell_length_b 6.380
_cell_length_c 6.380
_cell_angle_alpha 90.00
_cell_angle_beta 90.00
_cell_angle_gamma 90.00
loop_
_atom_site_label
_atom_site_fract_x
_atom_site_fract_y
_atom_site_fract_z
K1 0.000 0.000 0.500
Sc1 0.500 0.500 0.500
Br1 0.000 0.000 0.000



[3]
# PBE KScBr2, relaxed
# **E above lowest polymorph**: 0.310 eV/atom
# **Total energy**: -3.499 eV/atom
# **N(E_F)**: 5.3 states/eV/cell
# **Density**: 2.95 g/cm3
# **Uncorrected formation energy**: -0.8049 eV per atom
data_KScBr2
_symmetry_space_group_name_H-M 'I -4 m 2'
_symmetry_Int_Tables_number 119
_symmetry_space_group_name_Hall 'I -4 -2'
_cell_length_a 4.248
_cell_length_b 4.248
_cell_length_c 15.210
_cell_angle_alpha 90.00
_cell_angle_beta 90.00
_cell_angle_gamma 90.00
loop_
_atom_site_label
_atom_site_fract_x
_atom_site_fract_y
_atom_site_fract_z
K1 0.000 0.000 0.000
Sc1 0.000 0.500 0.750
Br1 0.000 0.000 0.500
Br2 0.000 0.500 0.250



[4]
# PBE KSc2Br, relaxed
# **E above lowest polymorph**: 0.391 eV/atom
# **Total energy**: -3.860 eV/atom
# **N(E_F)**: 4.1 states/eV/cell
# **Density**: 2.68 g/cm3
# **Uncorrected formation energy**: -0.0015 eV per atom
data_KSc2Br
_symmetry_space_group_name_H-M 'P m m m'
_symmetry_Int_Tables_number 47
_cell_length_a 3.593
_cell_length_b 5.226
_cell_length_c 6.884
_cell_angle_alpha 90.00
_cell_angle_beta 90.00
_cell_angle_gamma 90.00
loop_
_symmetry_equiv_pos_as_xyz
'x,y,z'
'-x,-y,-z'
'-x,-y,z'
'x,y,-z'
'x,-y,-z'
'-x,y,z'
'-x,y,-z'
'x,-y,z'
loop_
_atom_site_label
_atom_site_fract_x
_atom_site_fract_y
_atom_site_fract_z
K1 0.000 0.000 0.000
Sc1 0.000 0.500 0.500
Sc2 0.500 0.000 0.500
Br1 0.500 0.500 0.000